Entry 1:
SrAu2Br PBE-GGA relaxed; energy above the lowest structure with this stoichiometry = 0.00 kcal/mol of atoms
1.0
3.970 0.000 0.000
0.000 3.972 0.000
-0.068 0.000 7.370
Sr Au Br
1 2 1
Cartesian
0.000 0.000 0.000
0.000 1.986 2.455
1.984 0.000 2.456
1.917 1.986 5.977

---

Entry 2:
Sr2AuBr PBE-GGA relaxed; energy above the lowest structure with this stoichiometry = 0.29 kcal/mol of atoms
1.0
2.227 1.286 8.168
-2.227 1.286 8.168
0.000 -2.572 8.168
Sr Au Br
2 1 1
Cartesian
0.000 0.000 0.000
0.000 0.000 4.671
0.000 0.000 14.614
0.000 0.000 10.375

---

Entry 3:
Sr2AuBr PBE-GGA relaxed; energy above the lowest structure with this stoichiometry = 1.99 kcal/mol of atoms
1.0
4.542 0.000 0.000
0.000 4.565 0.000
0.000 0.000 6.507
Sr Au Br
2 1 1
Cartesian
0.000 0.000 0.000
2.271 2.282 3.254
0.000 0.000 3.254
2.271 2.282 0.000

---

Entry 4:
DFT (PBE-GGA) results for a relaxed structure of SrAu4Br.

```
SrAu4Br
1.0
0.000 4.068 4.068
4.068 0.000 4.068
4.068 4.068 0.000
Sr Au Br
1 4 1
Cartesian
0.000 0.000 0.000
5.083 3.054 3.054
3.054 5.083 3.054
3.054 3.054 5.083
5.083 5.083 5.083
2.034 2.034 2.034
```

---

Entry 5:
Sr2AuBr PBE-GGA relaxed; energy above the lowest structure with this stoichiometry = 2.77 kcal/mol of atoms
1.0
-2.041 2.074 8.231
2.041 -2.074 8.231
2.041 2.074 -8.231
Sr Au Br
2 1 1
Cartesian
0.000 0.000 0.000
0.000 2.074 4.588
2.041 0.000 5.887
0.000 0.000 9.987

---

Entry 6:
Sr2AuBr PBE-GGA relaxed; energy above the lowest structure with this stoichiometry = 3.43 kcal/mol of atoms
1.0
5.076 0.000 0.000
0.000 2.023 6.304
0.000 -2.023 6.304
Sr Au Br
2 1 1
Cartesian
0.000 0.000 0.000
2.538 0.000 3.199
2.538 0.000 6.525
0.000 0.000 9.430

---

Entry 7:
SrAu2Br PBE-GGA relaxed; energy above the lowest structure with this stoichiometry = 3.30 kcal/mol of atoms
1.0
4.178 0.000 0.000
0.000 4.178 0.000
0.000 0.000 5.856
Sr Au Br
1 2 1
Cartesian
0.000 0.000 0.000
0.000 2.089 2.928
2.089 0.000 2.928
2.089 2.089 0.000

---

Entry 8:
DFT (PBE-GGA) results for a relaxed structure of Sr2AuBr6.

```
Sr2AuBr6
1.0
7.248 0.000 0.000
0.000 7.248 0.000
0.000 0.000 13.014
Sr Au Br
4 2 12
Cartesian
0.000 0.000 2.146
0.000 0.000 10.868
3.624 3.624 4.361
3.624 3.624 8.653
0.000 0.000 6.507
3.624 3.624 0.000
1.319 1.319 4.600
1.319 1.319 8.414
1.433 1.433 0.000
2.191 5.057 6.507
2.306 4.943 1.907
2.306 4.943 11.107
4.943 2.306 1.907
4.943 2.306 11.107
5.057 2.191 6.507
5.815 5.815 0.000
5.930 5.930 4.600
5.930 5.930 8.414
```

---

| no. | formation energy (no corrections) (eV per atom) |
| --- | --- |
| 1 | -0.905 |
| 2 | -1.155 |
| 3 | -1.082 |
| 4 | -0.501 |
| 5 | -1.048 |
| 6 | -1.019 |
| 7 | -0.762 |
| 8 | -1.342 |